No. 1
{"formula": "AgRu2Br", "functional": "meta-GGA SCAN", "state": "PBEsol geometry", "sg": "No. 44", "density_g_cm3": 10.2, "polymorph_energy_mev_per_atom": 0, "e_form_raw_ev_per_atom": 0.904, "cell": [[-0.650, -2.132, 1.792], [-2.007, -2.313, -3.480], [5.504, 0.107, -0.157]], "species": ["Ru", "Ru", "Br", "Ag"], "frac_coords": [[0.995, 0.995, 0.989], [0.276, 0.776, 0.552], [0.724, 0.224, 0.449], [0.505, 0.505, 0.010]]}



No. 2
{"formula": "NdBe13", "functional": "meta-GGA SCAN", "state": "PBEsol geometry", "sg": "No. 226", "formation_enthalpy_0k_mev_per_atom": -155, "density_g_cm3": 3.2, "cell": [[-2.242, 3.505, -5.938], [2.194, -2.197, -6.551], [-4.698, -3.168, -4.523]], "species": ["Nd", "Nd", "Be", "Be", "Be", "Be", "Be", "Be", "Be", "Be", "Be", "Be", "Be", "Be", "Be", "Be", "Be", "Be", "Be", "Be", "Be", "Be", "Be", "Be", "Be", "Be", "Be", "Be"], "frac_coords": [[0.250, 0.250, 0.250], [0.750, 0.750, 0.750], [0.711, 0.937, 0.063], [0.937, 0.711, 0.289], [0.289, 0.063, 0.937], [0.063, 0.289, 0.711], [0.711, 0.063, 0.289], [0.711, 0.289, 0.937], [0.063, 0.711, 0.937], [0.937, 0.063, 0.711], [0.937, 0.289, 0.063], [0.289, 0.711, 0.063], [0.289, 0.937, 0.711], [0.063, 0.937, 0.289], [0.789, 0.563, 0.211], [0.563, 0.789, 0.437], [0.211, 0.437, 0.789], [0.437, 0.211, 0.563], [0.789, 0.437, 0.563], [0.789, 0.211, 0.437], [0.437, 0.789, 0.211], [0.563, 0.437, 0.211], [0.563, 0.211, 0.789], [0.211, 0.789, 0.563], [0.211, 0.563, 0.437], [0.437, 0.563, 0.789], [0.000, 0.000, 0.000], [0.500, 0.500, 0.500]]}



No. 3
{"formula": "MnAlAs2", "functional": "meta-GGA SCAN", "state": "PBEsol geometry", "sg": "No. 10", "formation_enthalpy_0k_mev_per_atom": -88, "density_g_cm3": 5.8, "cell": [[-1.122, 1.817, 2.784], [0.312, -3.011, 2.091], [4.682, 2.876, 0.010]], "species": ["As", "As", "Mn", "Al"], "frac_coords": [[0.000, 0.245, 0.269], [0.000, 0.755, 0.731], [0.500, 0.000, 0.500], [0.500, 0.500, 0.000]]}



No. 4
{"formula": "AlSbP2", "functional": "meta-GGA SCAN", "state": "PBEsol geometry", "sg": "No. 123", "density_g_cm3": 4.6, "polymorph_energy_mev_per_atom": 86, "e_form_raw_ev_per_atom": -0.012, "cell": [[-1.078, 2.692, 2.428], [-2.711, 1.084, -2.405], [-3.369, -3.394, 2.267]], "species": ["P", "P", "Al", "Sb"], "frac_coords": [[0.000, 0.000, 0.875], [0.500, 0.500, 0.375], [0.500, 0.500, 0.875], [0.000, 0.000, 0.375]]}